# ReBrCl2, relaxed, DFT PBE
data_ReBrCl2
_cell_length_a 7.074
_cell_length_b 7.074
_cell_length_c 8.495
_cell_angle_alpha 90.00
_cell_angle_beta 90.00
_cell_angle_gamma 90.00
_symmetry_space_group_name_H-M 'I -4 2 d'
_symmetry_Int_Tables_number 122
_symmetry_space_group_name_Hall 'I -4 2bw'
loop_
_atom_site_label
_atom_site_type_symbol
_atom_site_fract_x
_atom_site_fract_y
_atom_site_fract_z
Re1 Re 0.000 0.000 0.000
Br1 Br 0.000 0.000 0.500
Cl1 Cl 0.129 0.250 0.125
# N(E_F) = 6.5 states/eV/cell
# Theoretical density = 5.266 g/cm³
# Formation energy without anion corrections = 1.80 eV/f.u.